Record 1
A geometry-optimized Os2RuCl structure. Source: the Alexandria database, functional GGA-PBEsol.

Calculated values
As for the symmetry: No. 99. The calculation puts the uncorrected formation energy at 618.7 meV/atom. Its density of states at the Fermi level is 0.980 states/eV per atom. The value obtained for the excess energy over the best structure of this formula in the dataset is 173.3 meV per atom.

a b c (Å): 2.773 2.773 7.337
angles (deg): 90.00 90.00 90.00
Positions (direct):
Os (0.000, 0.000, 0.000)
Os (0.500, 0.500, 0.242)
Ru (0.000, 0.000, 0.490)
Cl (0.500, 0.500, 0.733)

***

Record 2
A geometry-optimized Na2CdBi structure. Source: the Alexandria database, functional GGA-PBEsol.

Calculated values
As for the symmetry: No. 225. Its density of states at the Fermi level is 0.364 states/eV per atom. The calculation puts the energy of formation at -0.18 eV/atom.

a b c (Å): 5.254 5.254 5.254
angles (deg): 60.00 60.00 60.00
Positions (direct):
Na (0.250, 0.250, 0.250)
Na (0.750, 0.750, 0.750)
Cd (0.000, 0.000, 0.000)
Bi (0.500, 0.500, 0.500)

***

Record 3
A geometry-optimized Ti3RhC structure. Source: the Alexandria database, functional GGA-PBEsol.

Calculated values
As for the symmetry: No. 221. Its density of states at the Fermi level is 1.294 states/eV per atom. The calculation puts the energy of formation at -0.54 eV/atom.

a b c (Å): 4.099 4.099 4.099
angles (deg): 90.00 90.00 90.00
Positions (direct):
Ti (0.000, 0.000, 0.500)
Ti (0.000, 0.500, 0.000)
Ti (0.500, 0.000, 0.000)
Rh (0.500, 0.500, 0.500)
C (0.000, 0.000, 0.000)

***

Record 4
A geometry-optimized Li2CaRe structure. Source: the Alexandria database, functional GGA-PBEsol.

Calculated values
As for the symmetry: No. 123. Its density of states at the Fermi level is 0.647 states/eV per atom. The calculation puts the energy of formation at 0.72 eV/atom. The value obtained for the excess energy over the best structure of this formula in the dataset is 130.2 meV per atom.

a b c (Å): 4.870 4.870 2.690
angles (deg): 90.00 90.00 90.00
Positions (direct):
Li (0.000, 0.500, 0.000)
Li (0.500, 0.000, 0.000)
Ca (0.000, 0.000, 0.500)
Re (0.500, 0.500, 0.500)

***

Record 5
A geometry-optimized Cd2PtAu structure. Source: the Alexandria database, functional GGA-PBEsol.

Calculated values
As for the symmetry: No. 8. Its density of states at the Fermi level is 0.278 states/eV per atom. The calculation puts the energy of formation at -0.21 eV/atom.

a b c (Å): 5.355 5.355 4.888
angles (deg): 105.54 105.54 31.64
Positions (direct):
Cd (0.000, 0.000, 0.000)
Cd (0.218, 0.218, 0.629)
Pt (0.745, 0.745, 0.136)
Au (0.466, 0.466, 0.481)

***

Record 6
A geometry-optimized CsK2Rb structure. Source: the Alexandria database, functional GGA-PBEsol.

Calculated values
As for the symmetry: No. 225. Its density of states at the Fermi level is 0.914 states/eV per atom. The calculation puts the energy of formation at 0.01 eV/atom. The value obtained for the excess energy over the best structure of this formula in the dataset is 0.0 meV per atom.

a b c (Å): 7.747 7.747 7.747
angles (deg): 60.00 60.00 60.00
Positions (direct):
Cs (0.000, 0.000, 0.000)
K (0.250, 0.250, 0.250)
K (0.750, 0.750, 0.750)
Rb (0.500, 0.500, 0.500)

***

Raw total energy list, top to bottom, in eV per cell: -34.14; -8.99; -45.47; -16.51; -14.10; -4.21